Entry 1:
NaNi2O3 PBEsol relaxed; formation energy without anion corrections = -0.9759 eV/atom; DFT total energy = -0.21632 hartree per atom; N(E_F) = 2.55 states/eV/f.u.
1.0
-1.923 -1.085 4.597
-1.956 -2.541 -3.966
4.705 -2.160 0.349
O Ni Na
6 4 2
direct
0.087 0.391 0.694
0.683 0.683 0.758
0.609 0.913 0.306
0.391 0.087 0.694
0.317 0.317 0.242
0.913 0.609 0.306
0.665 0.335 0.500
0.335 0.665 0.500
0.000 0.000 0.500
0.500 0.500 0.000
0.831 0.169 0.000
0.169 0.831 0.000

=====

Entry 2:
Na5NiO4 PBEsol relaxed; formation energy without anion corrections = -1.1689 eV/atom; DFT total energy = -0.16847 hartree per atom
1.0
-1.901 -5.583 -0.453
5.801 -2.623 7.984
-13.508 3.704 11.032
O Na Ni
32 40 8
direct
0.639 0.550 0.121
0.639 0.050 0.379
0.139 0.950 0.121
0.805 0.868 0.545
0.740 0.638 0.375
0.695 0.868 0.045
0.737 0.872 0.212
0.305 0.132 0.955
0.240 0.362 0.125
0.861 0.550 0.621
0.260 0.362 0.625
0.805 0.368 0.955
0.361 0.950 0.621
0.763 0.872 0.712
0.237 0.128 0.288
0.695 0.368 0.455
0.263 0.628 0.712
0.740 0.138 0.125
0.361 0.450 0.879
0.263 0.128 0.788
0.195 0.632 0.045
0.305 0.632 0.545
0.760 0.138 0.625
0.760 0.638 0.875
0.260 0.862 0.875
0.237 0.628 0.212
0.861 0.050 0.879
0.763 0.372 0.788
0.240 0.862 0.375
0.139 0.450 0.379
0.737 0.372 0.288
0.195 0.132 0.455
0.425 0.559 0.434
0.106 0.920 0.252
0.925 0.441 0.066
0.431 0.296 0.361
0.397 0.170 0.671
0.394 0.920 0.752
0.575 0.941 0.934
0.084 0.342 0.499
0.894 0.580 0.752
0.416 0.342 0.999
0.606 0.080 0.248
0.084 0.842 0.001
0.916 0.158 0.999
0.569 0.204 0.861
0.103 0.670 0.329
0.931 0.704 0.139
0.106 0.420 0.248
0.584 0.658 0.001
0.897 0.830 0.829
0.916 0.658 0.501
0.931 0.204 0.361
0.575 0.441 0.566
0.075 0.559 0.934
0.425 0.059 0.066
0.103 0.170 0.171
0.569 0.704 0.639
0.394 0.420 0.748
0.897 0.330 0.671
0.075 0.059 0.566
0.431 0.796 0.139
0.894 0.080 0.748
0.603 0.830 0.329
0.584 0.158 0.499
0.069 0.296 0.861
0.397 0.670 0.829
0.069 0.796 0.639
0.606 0.580 0.252
0.603 0.330 0.171
0.925 0.941 0.434
0.416 0.842 0.501
0.826 0.461 0.376
0.674 0.461 0.876
0.826 0.961 0.124
0.674 0.961 0.624
0.174 0.539 0.624
0.326 0.039 0.376
0.174 0.039 0.876
0.326 0.539 0.124

=====

Entry 3:
Na5Ni9O18 PBEsol relaxed; formation energy without anion corrections = -1.0519 eV/atom; DFT total energy = -0.21885 hartree per atom; N(E_F) = 13.28 states/eV/f.u.
1.0
5.706 0.008 0.008
-0.694 7.484 0.025
-2.277 -1.781 7.982
O Ni Na
18 9 5
direct
0.683 0.426 0.352
0.314 0.593 0.993
0.675 0.741 0.912
0.690 0.088 0.800
0.310 0.912 0.200
0.327 0.260 0.756
0.673 0.740 0.244
0.332 0.258 0.422
0.325 0.259 0.088
0.309 0.602 0.333
0.673 0.070 0.126
0.327 0.930 0.874
0.317 0.574 0.648
0.672 0.068 0.454
0.686 0.407 0.007
0.328 0.932 0.546
0.668 0.742 0.578
0.691 0.398 0.667
0.494 0.831 0.057
0.500 0.500 0.500
0.500 0.165 0.273
0.506 0.169 0.943
0.498 0.502 0.169
0.494 0.834 0.392
0.500 0.835 0.727
0.506 0.166 0.608
0.502 0.498 0.831
0.007 0.341 0.874
0.993 0.659 0.126
0.998 0.291 0.508
0.002 0.709 0.492
0.000 0.000 0.000

=====

Entry 4:
NaNi2P3O10 PBEsol relaxed; formation energy without anion corrections = -1.8067 eV/atom; DFT total energy = -0.25837 hartree per atom
1.0
-2.974 -3.525 -0.645
2.109 -0.301 -8.087
7.217 -4.815 2.062
Ni O P Na
4 20 6 2
direct
0.045 0.928 0.344
0.955 0.428 0.656
0.955 0.072 0.656
0.045 0.572 0.344
0.800 0.750 0.232
0.706 0.250 0.544
0.320 0.597 0.182
0.835 0.403 0.206
0.467 0.250 0.023
0.680 0.097 0.818
0.228 0.096 0.491
0.165 0.597 0.794
0.407 0.250 0.285
0.165 0.903 0.794
0.533 0.750 0.977
0.835 0.097 0.206
0.294 0.750 0.456
0.200 0.250 0.768
0.772 0.904 0.509
0.320 0.903 0.182
0.772 0.596 0.509
0.228 0.404 0.491
0.680 0.403 0.818
0.593 0.750 0.715
0.334 0.750 0.813
0.481 0.750 0.156
0.519 0.250 0.844
0.609 0.750 0.537
0.391 0.250 0.463
0.666 0.250 0.187
0.000 0.500 0.000
0.000 0.000 0.000

=====

Entry 5:
Na3Ni2SbO6 PBEsol relaxed; formation energy without anion corrections = -1.3399 eV/atom; DFT total energy = -0.21023 hartree per atom
1.0
5.297 0.000 0.005
-2.648 4.588 0.005
-0.879 -1.522 5.300
Ni O Sb Na
2 6 1 3
direct
0.334 0.666 0.000
0.666 0.334 0.000
0.254 0.254 0.795
0.746 0.746 0.205
0.068 0.391 0.203
0.391 0.068 0.203
0.609 0.932 0.797
0.932 0.609 0.797
0.000 0.000 0.000
0.500 0.500 0.500
0.176 0.824 0.500
0.824 0.176 0.500

=====

Entry 6:
Na4Ni3Sb2O10 PBEsol relaxed; formation energy without anion corrections = -1.3308 eV/atom; DFT total energy = -0.21462 hartree per atom
1.0
5.254 -0.012 0.000
1.644 5.383 0.000
2.627 -0.006 7.638
O Na Ni Sb
10 4 3 2
direct
0.838 0.307 0.797
0.635 0.307 0.203
0.365 0.693 0.797
0.573 0.708 0.392
0.777 0.695 0.000
0.427 0.292 0.608
0.162 0.693 0.203
0.223 0.305 0.000
0.966 0.708 0.608
0.034 0.292 0.392
0.201 0.000 0.599
0.406 0.000 0.188
0.799 0.000 0.401
0.594 0.000 0.812
0.300 0.500 0.399
0.700 0.500 0.601
0.500 0.500 0.000
0.103 0.500 0.793
0.897 0.500 0.207

=====

Entry 7:
Na2Si4NiO10 PBEsol relaxed; formation energy without anion corrections = -2.3749 eV/atom; DFT total energy = -0.26981 hartree per atom
1.0
-2.066 6.153 -2.540
-5.464 -4.187 3.156
5.249 2.443 7.858
O Na Ni Si
20 4 2 8
direct
0.116 0.361 0.577
0.586 0.131 0.721
0.790 0.101 0.980
0.565 0.393 0.578
0.990 0.802 0.205
0.347 0.188 0.270
0.422 0.368 0.816
0.847 0.536 0.866
0.653 0.812 0.730
0.010 0.198 0.795
0.948 0.212 0.279
0.153 0.464 0.134
0.435 0.607 0.422
0.052 0.788 0.721
0.748 0.395 0.139
0.210 0.899 0.020
0.578 0.632 0.184
0.414 0.869 0.279
0.252 0.605 0.861
0.884 0.639 0.423
0.743 0.276 0.420
0.340 0.244 0.022
0.660 0.756 0.978
0.257 0.724 0.580
0.254 0.315 0.423
0.746 0.685 0.577
0.604 0.358 0.737
0.913 0.290 0.140
0.396 0.642 0.263
0.188 0.379 0.748
0.240 0.945 0.199
0.812 0.621 0.252
0.087 0.710 0.860
0.760 0.055 0.801

=====

Entry 8:
NaTl2NiO PBEsol relaxed; formation energy without anion corrections = 0.0263 eV/atom; DFT total energy = -0.13182 hartree per atom; N(E_F) = 3.40 states/eV/f.u.
1.0
-2.243 -1.041 -3.259
0.016 -4.595 1.456
-4.031 0.785 2.523
Tl Na Ni O
2 1 1 1
direct
0.000 0.000 0.500
0.000 0.500 0.000
0.500 0.000 0.000
0.500 0.500 0.500
0.000 0.000 0.000

=====

Entry 9:
NaTcNi2Os PBEsol relaxed; DFT total energy = -0.22068 hartree per atom; N(E_F) = 5.13 states/eV/f.u.
1.0
-3.980 -1.466 1.564
1.237 -4.264 -0.850
1.770 -0.324 4.200
Os Tc Na Ni
1 1 1 2
direct
0.000 0.000 0.500
0.000 0.000 0.000
0.500 0.500 0.500
0.000 0.500 0.000
0.500 0.000 0.000

=====

Entry 10:
Na2NiP2 PBEsol relaxed; DFT total energy = -0.16576 hartree per atom; N(E_F) = 1.82 states/eV/f.u.
1.0
-0.710 4.231 2.053
-1.886 -2.648 4.806
5.418 -0.097 2.073
P Ni Na
4 2 4
direct
0.000 0.638 0.138
0.000 0.138 0.362
0.000 0.862 0.638
0.000 0.362 0.862
0.000 0.000 0.000
0.000 0.500 0.500
0.500 0.176 0.676
0.500 0.824 0.324
0.500 0.676 0.824
0.500 0.324 0.176

=====

Entry 11:
NaNiPPd2 PBEsol relaxed; DFT total energy = -0.17521 hartree per atom; N(E_F) = 6.97 states/eV/f.u.
1.0
3.997 0.000 0.000
0.000 4.768 0.000
0.000 0.000 4.768
P Pd Ni Na
1 2 1 1
direct
0.500 0.000 0.000
0.000 0.000 0.500
0.000 0.500 0.000
0.000 0.000 0.000
0.500 0.500 0.500

=====

Entry 12:
NaNi3Pb PBEsol relaxed; DFT total energy = -0.12493 hartree per atom; N(E_F) = 5.05 states/eV/f.u.
1.0
4.340 0.000 0.000
0.000 4.340 0.000
0.000 0.000 4.340
Ni Pb Na
3 1 1
direct
0.000 0.000 0.500
0.000 0.500 0.000
0.500 0.000 0.000
0.500 0.500 0.500
0.000 0.000 0.000

=====

Entry 13:
NaNiPb2 PBEsol relaxed; DFT total energy = -0.14353 hartree per atom; N(E_F) = 1.92 states/eV/f.u.
1.0
4.234 0.000 0.000
-2.117 5.629 0.000
0.000 0.000 7.598
Pb Na Ni
4 2 2
direct
0.146 0.292 0.044
0.854 0.708 0.956
0.146 0.292 0.456
0.854 0.708 0.544
0.442 0.885 0.250
0.558 0.115 0.750
0.715 0.429 0.250
0.285 0.571 0.750

=====

Entry 14:
Na3NiPd PBEsol relaxed; DFT total energy = -0.08801 hartree per atom; N(E_F) = 9.11 states/eV/f.u.
1.0
-4.790 0.913 1.207
-0.934 -4.936 0.026
1.191 -0.200 4.877
Pd Ni Na
1 1 3
direct
0.500 0.500 0.500
0.000 0.000 0.000
0.500 0.000 0.000
0.000 0.500 0.000
0.000 0.000 0.500

=====

Entry 15:
NaNiPd3 PBEsol relaxed; DFT total energy = -0.13234 hartree per atom; N(E_F) = 11.13 states/eV/f.u.
1.0
4.462 0.000 0.000
0.000 4.462 0.000
0.000 0.000 4.462
Pd Ni Na
3 1 1
direct
0.000 0.500 0.000
0.000 0.000 0.500
0.500 0.000 0.000
0.500 0.500 0.500
0.000 0.000 0.000

=====

Entry 16:
Na2NiPt PBEsol relaxed; DFT total energy = -0.12508 hartree per atom; N(E_F) = 4.10 states/eV/f.u.
1.0
4.540 0.000 0.000
2.270 3.932 0.000
2.270 1.311 3.707
Na Pt Ni
2 1 1
direct
0.250 0.250 0.250
0.750 0.750 0.750
0.500 0.500 0.500
0.000 0.000 0.000

=====

Entry 17:
Na2ReNiPt PBEsol relaxed; DFT total energy = -0.14442 hartree per atom; N(E_F) = 8.92 states/eV/f.u.
1.0
4.685 0.000 0.000
0.000 5.412 0.000
0.000 0.000 5.412
Na Re Pt Ni
2 1 1 1
direct
0.000 0.000 0.500
0.000 0.500 0.000
0.000 0.000 0.000
0.500 0.000 0.000
0.500 0.500 0.500

=====

Entry 18:
NaReNi3 PBEsol relaxed; DFT total energy = -0.17052 hartree per atom; N(E_F) = 2.25 states/eV/f.u.
1.0
4.088 0.000 0.000
0.000 4.088 0.000
0.000 0.000 4.088
Ni Na Re
3 1 1
direct
0.500 0.000 0.000
0.000 0.000 0.500
0.000 0.500 0.000
0.000 0.000 0.000
0.500 0.500 0.500